(1)
{
  "formula": "Sm3Zn2Pd",
  "functional": "PBE",
  "state": "relaxed",
  "n_ef_per_ev_cell": 4.8,
  "polymorph_energy_mev_per_atom": 0,
  "delta_e_f_kj_per_mol_atoms": -47,
  "space_group": "P4/mmm (123)",
  "m_tot_mub_per_fu": 0.00,
  "lattice_angstrom": [[3.653, 0.000, 0.000], [0.000, 3.653, 0.000], [0.000, 0.000, 10.663]],
  "species": ["Sm", "Sm", "Zn", "Pd", "Zn", "Sm"],
  "fractional_positions": [[0.000, 0.000, 0.000], [0.000, 0.000, 0.338], [0.500, 0.500, 0.166], [0.500, 0.500, 0.500], [0.500, 0.500, 0.834], [0.000, 0.000, 0.662]]
}

---

(2)
{
  "formula": "SmZn2Pd8",
  "functional": "PBE",
  "state": "relaxed",
  "n_ef_per_ev_cell": 3.7,
  "delta_e_f_kj_per_mol_atoms": -47,
  "space_group": "C2/m (12)",
  "m_tot_mub_per_fu": 0.00,
  "lattice_angstrom": [[-1.117, -3.765, 1.309], [0.985, -2.343, -5.898], [6.590, 1.346, 2.951]],
  "species": ["Pd", "Pd", "Pd", "Pd", "Pd", "Pd", "Pd", "Zn", "Sm", "Zn", "Pd"],
  "fractional_positions": [[0.045, 0.721, 0.091], [0.150, 0.219, 0.301], [0.684, 0.926, 0.369], [0.955, 0.279, 0.909], [0.602, 0.477, 0.204], [0.398, 0.523, 0.796], [0.316, 0.074, 0.631], [0.224, 0.653, 0.448], [0.500, 0.000, 0.000], [0.776, 0.347, 0.552], [0.850, 0.781, 0.699]]
}

---

(3)
{
  "formula": "Sm3Zn9Pd2",
  "functional": "PBE",
  "state": "relaxed",
  "n_ef_per_ev_cell": 6.4,
  "delta_e_f_kj_per_mol_atoms": -44,
  "space_group": "Immm (71)",
  "m_tot_mub_per_fu": 0.00,
  "lattice_angstrom": [[-1.153, 3.194, -2.709], [-8.260, 0.461, 0.576], [-2.757, 6.105, 4.889]],
  "species": ["Sm", "Zn", "Zn", "Pd", "Zn", "Pd", "Sm", "Zn", "Zn", "Zn", "Sm", "Zn", "Zn", "Zn"],
  "fractional_positions": [[0.306, 0.694, 0.694], [0.000, 0.500, 0.500], [0.669, 0.688, 0.973], [0.500, 0.296, 0.704], [0.669, 0.973, 0.688], [0.500, 0.704, 0.296], [0.694, 0.306, 0.306], [0.331, 0.027, 0.312], [0.129, 0.154, 0.589], [0.331, 0.312, 0.027], [0.000, 0.000, 0.000], [0.129, 0.589, 0.154], [0.871, 0.846, 0.411], [0.871, 0.411, 0.846]]
}

---

(4)
{
  "formula": "Sm2Zn2Pd",
  "functional": "PBE",
  "state": "relaxed",
  "n_ef_per_ev_cell": 6.6,
  "delta_e_f_kj_per_mol_atoms": -50,
  "space_group": "C2/m (12)",
  "m_tot_mub_per_fu": 0.00,
  "lattice_angstrom": [[-2.007, 3.960, 0.616], [-5.526, -0.386, 0.783], [1.070, 1.543, 9.871]],
  "species": ["Pd", "Zn", "Zn", "Sm", "Sm", "Pd", "Zn", "Sm", "Sm", "Zn"],
  "fractional_positions": [[0.386, 0.890, 0.337], [0.628, 0.858, 0.887], [0.087, 0.267, 0.558], [0.080, 0.725, 0.115], [0.920, 0.275, 0.885], [0.614, 0.110, 0.663], [0.372, 0.142, 0.113], [0.323, 0.690, 0.664], [0.677, 0.310, 0.336], [0.913, 0.733, 0.442]]
}

---

(5)
{
  "formula": "SmZnPd3",
  "functional": "PBE",
  "state": "relaxed",
  "n_ef_per_ev_cell": 4.5,
  "delta_e_f_kj_per_mol_atoms": -17,
  "space_group": "Cmcm (63)",
  "m_tot_mub_per_fu": 0.00,
  "lattice_angstrom": [[-3.548, -3.409, -1.450], [5.625, -5.429, -1.002], [-4.059, 1.414, 6.607]],
  "species": ["Pd", "Pd", "Sm", "Zn", "Pd", "Pd", "Pd", "Zn", "Sm", "Pd"],
  "fractional_positions": [[0.750, 0.244, 0.377], [0.500, 0.000, 0.000], [0.250, 0.386, 0.614], [0.250, 0.163, 0.837], [0.000, 0.000, 0.000], [0.250, 0.756, 0.623], [0.750, 0.623, 0.756], [0.750, 0.837, 0.163], [0.750, 0.614, 0.386], [0.250, 0.377, 0.244]]
}

---

(6)
{
  "formula": "Sm4Zn3Pd",
  "functional": "PBE",
  "state": "relaxed",
  "n_ef_per_ev_cell": 8.6,
  "polymorph_energy_mev_per_atom": 35,
  "delta_e_f_kj_per_mol_atoms": -40,
  "space_group": "Pmm2 (25)",
  "m_tot_mub_per_fu": 0.00,
  "lattice_angstrom": [[-2.042, -1.834, -2.582], [3.405, -3.037, -0.535], [-4.490, -6.469, 8.146]],
  "species": ["Sm", "Sm", "Zn", "Pd", "Sm", "Zn", "Sm", "Zn"],
  "fractional_positions": [[0.500, 0.500, 0.347], [0.500, 0.000, 0.651], [0.000, 0.500, 0.569], [0.500, 0.500, 0.072], [0.000, 0.000, 0.143], [0.500, 0.000, 0.928], [0.000, 0.500, 0.861], [0.000, 0.000, 0.428]]
}

---

(7)
{
  "formula": "Sm3Zn2Pd2",
  "functional": "PBE",
  "state": "relaxed",
  "n_ef_per_ev_cell": 6.2,
  "delta_e_f_kj_per_mol_atoms": -54,
  "space_group": "Cmmm (65)",
  "m_tot_mub_per_fu": 0.23,
  "lattice_angstrom": [[-1.023, -2.217, 3.104], [3.471, 0.370, 1.408], [-3.659, 7.897, 6.947]],
  "species": ["Sm", "Sm", "Zn", "Sm", "Zn", "Pd", "Pd"],
  "fractional_positions": [[0.163, 0.000, 0.674], [0.837, 0.000, 0.326], [0.581, 0.500, 0.837], [0.000, 0.000, 0.000], [0.419, 0.500, 0.163], [0.708, 0.500, 0.585], [0.292, 0.500, 0.415]]
}

---

(8)
{
  "formula": "Sm3Zn2Pd5",
  "functional": "PBE",
  "state": "relaxed",
  "n_ef_per_ev_cell": 8.2,
  "delta_e_f_kj_per_mol_atoms": -71,
  "space_group": "P4/mbm (127)",
  "m_tot_mub_per_fu": 0.00,
  "lattice_angstrom": [[-2.148, 2.965, 1.408], [-8.369, -4.704, -2.864], [-0.476, -4.572, 8.901]],
  "species": ["Pd", "Sm", "Pd", "Pd", "Pd", "Zn", "Pd", "Sm", "Pd", "Zn", "Sm", "Pd", "Sm", "Pd", "Zn", "Sm", "Pd", "Zn", "Sm", "Pd"],
  "fractional_positions": [[0.500, 0.070, 0.784], [0.000, 0.676, 0.176], [0.500, 0.000, 0.500], [0.500, 0.284, 0.570], [0.500, 0.930, 0.216], [0.000, 0.382, 0.118], [0.500, 0.500, 0.000], [0.000, 0.500, 0.500], [0.500, 0.570, 0.716], [0.000, 0.882, 0.382], [0.000, 0.324, 0.824], [0.500, 0.430, 0.284], [0.000, 0.824, 0.676], [0.500, 0.716, 0.430], [0.000, 0.118, 0.618], [0.000, 0.000, 0.000], [0.500, 0.784, 0.930], [0.000, 0.618, 0.882], [0.000, 0.176, 0.324], [0.500, 0.216, 0.070]]
}

---

(9)
{
  "formula": "SmZrZnPd",
  "functional": "PBE",
  "state": "relaxed",
  "n_ef_per_ev_cell": 4.5,
  "delta_e_f_kj_per_mol_atoms": -35,
  "space_group": "F-43m (216)",
  "m_tot_mub_per_fu": 0.63,
  "lattice_angstrom": [[4.928, 0.000, 0.000], [2.464, 4.268, 0.000], [2.464, 1.423, 4.024]],
  "species": ["Sm", "Zn", "Zr", "Pd"],
  "fractional_positions": [[0.750, 0.750, 0.750], [0.000, 0.000, 0.000], [0.250, 0.250, 0.250], [0.500, 0.500, 0.500]]
}

---

(10)
{
  "formula": "SmZr2Pd9",
  "functional": "PBE",
  "state": "relaxed",
  "n_ef_per_ev_cell": 0.8,
  "delta_e_f_kj_per_mol_atoms": -80,
  "space_group": "P4/mmm (123)",
  "m_tot_mub_per_fu": 0.00,
  "lattice_angstrom": [[4.077, 0.000, 0.000], [0.000, 4.077, 0.000], [0.000, 0.000, 12.245]],
  "species": ["Pd", "Pd", "Pd", "Pd", "Zr", "Pd", "Zr", "Pd", "Pd", "Pd", "Pd", "Sm"],
  "fractional_positions": [[0.500, 0.500, 0.662], [0.000, 0.500, 0.500], [0.500, 0.000, 0.823], [0.500, 0.000, 0.177], [0.000, 0.000, 0.335], [0.000, 0.500, 0.177], [0.000, 0.000, 0.665], [0.500, 0.500, 0.338], [0.500, 0.500, 0.000], [0.500, 0.000, 0.500], [0.000, 0.500, 0.823], [0.000, 0.000, 0.000]]
}

---

(11)
{
  "formula": "SmZrPd6",
  "functional": "PBE",
  "state": "relaxed",
  "n_ef_per_ev_cell": 2.0,
  "delta_e_f_kj_per_mol_atoms": -80,
  "space_group": "P4/mmm (123)",
  "m_tot_mub_per_fu": 0.00,
  "lattice_angstrom": [[-1.640, 1.764, 3.318], [0.177, -3.580, 1.991], [7.513, 1.880, 2.714]],
  "species": ["Sm", "Zr", "Pd", "Pd", "Pd", "Pd", "Pd", "Pd"],
  "fractional_positions": [[0.000, 0.000, 0.000], [0.000, 0.000, 0.500], [0.500, 0.500, 0.500], [0.000, 0.500, 0.738], [0.500, 0.500, 0.000], [0.000, 0.500, 0.262], [0.500, 0.000, 0.262], [0.500, 0.000, 0.738]]
}

---

(12)
{
  "formula": "SmZr2Pd",
  "functional": "PBE",
  "state": "relaxed",
  "n_ef_per_ev_cell": 4.6,
  "delta_e_f_kj_per_mol_atoms": -21,
  "space_group": "P4/mmm (123)",
  "m_tot_mub_per_fu": 0.00,
  "lattice_angstrom": [[3.409, 0.000, 0.000], [0.000, 3.409, 0.000], [0.000, 0.000, 7.835]],
  "species": ["Zr", "Pd", "Zr", "Sm"],
  "fractional_positions": [[0.000, 0.000, 0.792], [0.500, 0.500, 0.000], [0.000, 0.000, 0.208], [0.500, 0.500, 0.500]]
}

---

(13)
{
  "formula": "SmZrPd4",
  "functional": "PBE",
  "state": "relaxed",
  "n_ef_per_ev_cell": 11.9,
  "delta_e_f_kj_per_mol_atoms": -69,
  "space_group": "Pnma (62)",
  "m_tot_mub_per_fu": 0.00,
  "lattice_angstrom": [[4.191, 0.000, 0.000], [0.000, 8.166, 0.000], [0.000, 0.000, 13.015]],
  "species": ["Pd", "Pd", "Pd", "Zr", "Zr", "Pd", "Pd", "Pd", "Pd", "Sm", "Zr", "Pd", "Sm", "Pd", "Pd", "Pd", "Sm", "Pd", "Pd", "Zr", "Sm", "Pd", "Pd", "Pd"],
  "fractional_positions": [[0.750, 0.250, 0.082], [0.250, 0.250, 0.582], [0.250, 0.483, 0.419], [0.250, 0.250, 0.943], [0.750, 0.750, 0.057], [0.250, 0.517, 0.082], [0.750, 0.983, 0.582], [0.250, 0.000, 0.750], [0.750, 0.500, 0.250], [0.250, 0.250, 0.235], [0.250, 0.750, 0.557], [0.250, 0.500, 0.750], [0.750, 0.250, 0.735], [0.750, 0.000, 0.250], [0.750, 0.017, 0.919], [0.750, 0.483, 0.918], [0.250, 0.750, 0.265], [0.250, 0.017, 0.418], [0.250, 0.750, 0.918], [0.750, 0.250, 0.443], [0.750, 0.750, 0.765], [0.750, 0.517, 0.581], [0.750, 0.750, 0.418], [0.250, 0.983, 0.081]]
}

---

(14)
{
  "formula": "Sn4Pd",
  "functional": "PBE",
  "state": "relaxed",
  "n_ef_per_ev_cell": 3.6,
  "delta_e_f_kj_per_mol_atoms": -20,
  "space_group": "I4_1/a (88)",
  "m_tot_mub_per_fu": 0.00,
  "lattice_angstrom": [[5.703, 0.000, -2.576], [-1.164, 5.583, -2.576], [0.084, 0.104, 7.787]],
  "species": ["Sn", "Sn", "Sn", "Sn", "Sn", "Sn", "Sn", "Pd", "Pd", "Sn"],
  "fractional_positions": [[0.968, 0.889, 0.313], [0.111, 0.655, 0.687], [0.405, 0.826, 0.187], [0.345, 0.424, 0.313], [0.576, 0.032, 0.687], [0.639, 0.595, 0.813], [0.174, 0.218, 0.813], [0.000, 0.000, 0.000], [0.750, 0.250, 0.500], [0.782, 0.361, 0.187]]
}

---

(15)
{
  "formula": "Sn5Pd",
  "functional": "PBE",
  "state": "relaxed",
  "n_ef_per_ev_cell": 2.6,
  "delta_e_f_kj_per_mol_atoms": -3,
  "space_group": "Cmmm (65)",
  "m_tot_mub_per_fu": 0.00,
  "lattice_angstrom": [[4.893, 0.000, 0.000], [0.000, 4.216, 0.000], [0.000, -2.108, 7.265]],
  "species": ["Pd", "Sn", "Sn", "Sn", "Sn", "Sn"],
  "fractional_positions": [[0.000, 0.000, 0.000], [0.000, 0.644, 0.287], [0.500, 0.500, 0.000], [0.500, 0.163, 0.326], [0.500, 0.837, 0.674], [0.000, 0.356, 0.713]]
}

---

(16)
{
  "formula": "Sn5Pd",
  "functional": "PBE",
  "state": "relaxed",
  "n_ef_per_ev_cell": 2.6,
  "delta_e_f_kj_per_mol_atoms": -6,
  "space_group": "Cmmm (65)",
  "m_tot_mub_per_fu": 0.00,
  "lattice_angstrom": [[-3.200, 0.968, -0.702], [-0.762, -4.066, -2.135], [-1.510, -4.464, 9.042]],
  "species": ["Pd", "Sn", "Sn", "Sn", "Sn", "Sn"],
  "fractional_positions": [[0.000, 0.000, 0.000], [0.500, 0.500, 0.000], [0.617, 0.000, 0.233], [0.816, 0.500, 0.632], [0.383, 0.000, 0.767], [0.184, 0.500, 0.368]]
}

---

(17)
{
  "formula": "SnPd6",
  "functional": "PBE",
  "state": "relaxed",
  "n_ef_per_ev_cell": 15.7,
  "delta_e_f_kj_per_mol_atoms": 85,
  "space_group": "Im-3m (229)",
  "m_tot_mub_per_fu": 0.01,
  "lattice_angstrom": [[6.085, 0.000, 0.000], [-2.028, 5.737, 0.000], [-2.028, -2.868, 4.968]],
  "species": ["Pd", "Pd", "Sn", "Pd", "Pd", "Pd", "Pd"],
  "fractional_positions": [[0.500, 0.250, 0.750], [0.750, 0.250, 0.500], [0.000, 0.000, 0.000], [0.500, 0.750, 0.250], [0.750, 0.500, 0.250], [0.250, 0.500, 0.750], [0.250, 0.750, 0.500]]
}

---

(18)
{
  "formula": "SnPd2",
  "functional": "PBE",
  "state": "relaxed",
  "n_ef_per_ev_cell": 3.0,
  "delta_e_f_kj_per_mol_atoms": -19,
  "space_group": "Fd-3m (227)",
  "m_tot_mub_per_fu": 0.00,
  "lattice_angstrom": [[5.383, 0.000, 0.000], [2.692, 4.662, 0.000], [2.692, 1.554, 4.395]],
  "species": ["Pd", "Pd", "Sn", "Pd", "Pd", "Sn"],
  "fractional_positions": [[0.625, 0.125, 0.625], [0.625, 0.625, 0.625], [0.000, 0.000, 0.000], [0.125, 0.625, 0.625], [0.625, 0.625, 0.125], [0.250, 0.250, 0.250]]
}

---

(19)
{
  "formula": "Sn4Pd",
  "functional": "PBE",
  "state": "relaxed",
  "n_ef_per_ev_cell": 6.2,
  "delta_e_f_kj_per_mol_atoms": 9,
  "space_group": "Pm-3m (221)",
  "m_tot_mub_per_fu": 0.00,
  "lattice_angstrom": [[5.233, 0.000, 0.000], [0.000, 5.233, 0.000], [0.000, 0.000, 5.233]],
  "species": ["Sn", "Sn", "Pd", "Sn", "Sn"],
  "fractional_positions": [[0.500, 0.500, 0.000], [0.500, 0.000, 0.500], [0.500, 0.500, 0.500], [0.000, 0.000, 0.000], [0.000, 0.500, 0.500]]
}

---

(20)
{
  "formula": "Sn4Pd",
  "functional": "PBE",
  "state": "relaxed",
  "n_ef_per_ev_cell": 3.8,
  "delta_e_f_kj_per_mol_atoms": -23,
  "space_group": "Ccce (68)",
  "m_tot_mub_per_fu": 0.00,
  "lattice_angstrom": [[6.682, -0.030, 0.000], [-3.490, 5.698, 0.000], [0.000, 0.000, 6.501]],
  "species": ["Pd", "Sn", "Sn", "Sn", "Sn", "Sn", "Pd", "Sn", "Sn", "Sn"],
  "fractional_positions": [[0.000, 0.000, 0.500], [0.205, 0.456, 0.330], [0.456, 0.205, 0.670], [0.956, 0.705, 0.830], [0.795, 0.544, 0.330], [0.705, 0.956, 0.170], [0.500, 0.500, 0.000], [0.295, 0.044, 0.170], [0.544, 0.795, 0.670], [0.044, 0.295, 0.830]]
}